(1)
Below is crystalline TeRh3 at its relaxed geometry, with properties calculated at the GGA-PBE level.

## Properties
Total magnetization   0.008 μB per atom
E_tot   -6.04 eV per atom
Raw formation energy   0.26 eV/atom

Cell and atoms, written as POSCAR:
```
TeRh3
1.0
-2.259 -2.641 3.709
4.433 -2.221 1.118
1.040 3.732 3.291
Rh Te
6 2
Cartesian
3.845 0.200 2.484 Rh
-0.869 -0.388 2.677 Rh
1.652 -1.771 1.486 Rh
-0.349 1.478 4.323 Rh
1.628 1.311 1.925 Rh
0.522 -3.092 3.341 Rh
0.000 0.000 0.000 Te
1.607 -0.565 4.059 Te
```

=====

(2)
Below is crystalline NaMn2H at its relaxed geometry, with properties calculated at the GGA-PBE level.

## Properties
Total magnetization   1.738 μB per atom
E above lowest polymorph   0 meV per atom
E_tot   -5.28 eV per atom

Cell and atoms, written as POSCAR:
```
NaMn2H
1.0
5.630 0.000 0.000
0.000 5.630 0.000
2.815 2.815 3.985
Mn H Na
4 2 2
Cartesian
2.815 1.407 0.996 Mn
2.815 4.222 0.996 Mn
4.222 5.629 2.989 Mn
7.037 5.630 2.989 Mn
2.815 5.630 1.993 H
2.815 2.815 0.000 H
0.000 0.000 0.000 Na
5.630 2.815 1.993 Na
```

=====

(3)
Below is crystalline BaNbO2F at its relaxed geometry, with properties calculated at the GGA-PBE level.

## Properties
Total magnetization   0.000 μB per atom
E_tot   -7.30 eV per atom
Raw formation energy   -2.54 eV/atom

Cell and atoms, written as POSCAR:
```
BaNbO2F
1.0
-3.639 1.377 -1.499
-0.840 -3.813 -1.462
-1.943 -1.021 3.780
O Ba F Nb
2 1 1 1
Cartesian
-0.420 -1.907 -0.731 O
-1.820 0.688 -0.749 O
-3.211 -1.729 0.409 Ba
-0.972 -0.510 1.890 F
0.000 0.000 0.000 Nb
```

=====

(4)
Below is crystalline GdScCdNi at its relaxed geometry, with properties calculated at the GGA-PBE level.

## Properties
Total magnetization   1.793 μB per atom
E_tot   -7.00 eV per atom

Cell and atoms, written as POSCAR:
```
GdScCdNi
1.0
4.949 0.000 0.000
2.474 4.286 0.000
2.474 1.429 4.041
Cd Sc Ni Gd
1 1 1 1
Cartesian
4.949 2.857 2.020 Cd
7.423 4.286 3.031 Sc
0.000 0.000 0.000 Ni
2.474 1.429 1.010 Gd
```

=====

(5)
Below is crystalline BaLiBi2Au4 at its relaxed geometry, with properties calculated at the GGA-PBE level.

## Properties
Total magnetization   0.000 μB per atom
E_tot   -3.49 eV per atom

Cell and atoms, written as POSCAR:
```
BaLiBi2Au4
1.0
4.883 0.000 0.000
2.441 4.229 0.000
2.441 1.410 9.718
Au Bi Li Ba
4 2 1 1
Cartesian
4.883 2.819 7.752 Au
7.324 4.229 4.121 Au
2.441 1.410 5.596 Au
4.883 2.819 1.966 Au
7.324 4.229 7.003 Bi
2.441 1.410 2.715 Bi
4.883 2.819 4.859 Li
0.000 0.000 0.000 Ba
```

=====

(6)
Below is crystalline Sr2TeHRh at its relaxed geometry, with properties calculated at the GGA-PBE level.

## Properties
Total magnetization   0.000 μB per atom
E above lowest polymorph   104 meV per atom
E_tot   -4.08 eV per atom

Cell and atoms, written as POSCAR:
```
Sr2TeHRh
1.0
5.726 0.000 0.000
0.000 5.726 0.000
0.000 0.000 3.811
Sr H Te Rh
2 1 1 1
Cartesian
0.000 2.863 0.000 Sr
2.863 0.000 0.000 Sr
0.000 0.000 1.906 H
2.863 2.863 1.906 Te
0.000 0.000 0.000 Rh
```

=====

(7)
Below is crystalline Ac3HoTe6 at its relaxed geometry, with properties calculated at the GGA-PBE level.

## Properties
Total magnetization   0.000 μB per atom
E above lowest polymorph   7 meV per atom
E_tot   -5.07 eV per atom
Raw formation energy   -1.50 eV/atom

Cell and atoms, written as POSCAR:
```
Ac3HoTe6
1.0
-2.601 -0.135 9.068
-5.519 -6.955 -3.192
8.089 -4.799 0.743
Te Ac Ho
12 6 2
Cartesian
2.895 -3.640 8.876 Te
-0.998 -8.449 1.806 Te
0.968 -3.440 4.813 Te
-6.655 -6.762 3.226 Te
-3.741 -2.653 7.788 Te
1.691 -5.702 0.755 Te
-1.721 -6.187 5.865 Te
2.664 -7.021 4.387 Te
-2.925 -8.248 -2.257 Te
-2.695 -4.868 2.233 Te
3.710 -9.235 -1.168 Te
6.625 -5.127 3.393 Te
3.689 -3.873 2.705 Ac
2.244 -9.237 1.750 Ac
-2.275 -2.652 4.870 Ac
-1.446 -5.771 -0.728 Ac
-3.720 -8.016 3.915 Ac
1.415 -6.118 7.348 Ac
0.000 0.000 0.000 Ho
-0.015 -5.944 3.310 Ho
```

=====

(8)
Below is crystalline TlSIN2 at its relaxed geometry, with properties calculated at the GGA-PBE level.

## Properties
Total magnetization   0.558 μB per atom
E above lowest polymorph   343 meV per atom
E_tot   -3.02 eV per atom
Raw formation energy   1.92 eV/atom

Cell and atoms, written as POSCAR:
```
TlSIN2
1.0
4.194 0.000 0.000
0.000 4.194 0.000
0.000 0.000 7.915
N I Tl S
2 1 1 1
Cartesian
0.000 2.097 0.000 N
2.097 0.000 0.000 N
0.000 0.000 3.957 I
0.000 0.000 0.000 Tl
2.097 2.097 3.957 S
```

=====

(9)
Below is crystalline SrMgCl2 at its relaxed geometry, with properties calculated at the GGA-PBE level.

## Properties
Total magnetization   0.000 μB per atom
E above lowest polymorph   256 meV per atom
E_tot   -3.00 eV per atom
Raw formation energy   -1.26 eV/atom

Cell and atoms, written as POSCAR:
```
SrMgCl2
1.0
-4.674 2.177 -2.721
-1.745 -5.557 0.262
-4.524 -0.791 2.394
Mg Cl Sr
1 2 1
Cartesian
-4.599 0.693 -0.163 Mg
-3.210 -1.690 -1.229 Cl
0.000 0.000 0.000 Cl
-3.134 -3.174 1.328 Sr
```

=====

(10)
Below is crystalline TcHgW2 at its relaxed geometry, with properties calculated at the GGA-PBE level.

## Properties
Total magnetization   0.000 μB per atom
E_tot   -8.53 eV per atom

Cell and atoms, written as POSCAR:
```
TcHgW2
1.0
5.371 0.003 0.005
2.441 4.784 -0.005
-3.397 -3.224 2.629
W Hg Tc
2 1 1
Cartesian
7.809 4.785 0.000 W
3.087 -0.324 1.317 W
3.903 2.391 0.000 Hg
1.335 1.891 1.312 Tc
```

=====

(11)
Below is crystalline Tl3Sn2Pb at its relaxed geometry, with properties calculated at the GGA-PBE level.

## Properties
Total magnetization   0.000 μB per atom
E_tot   -3.11 eV per atom

Cell and atoms, written as POSCAR:
```
Tl3Sn2Pb
1.0
3.514 0.000 0.000
0.000 9.082 -0.242
0.000 0.183 11.383
Tl Sn Pb
6 4 2
Cartesian
0.878 7.846 4.584 Tl
2.635 5.674 2.545 Tl
0.878 3.591 8.597 Tl
2.635 6.118 10.392 Tl
2.635 1.419 6.558 Tl
0.878 3.147 0.749 Tl
0.878 8.267 0.810 Sn
2.635 5.593 6.490 Sn
2.635 0.997 10.331 Sn
0.878 3.672 4.652 Sn
2.635 1.249 3.046 Pb
0.878 8.016 8.095 Pb
```

=====

(12)
Below is crystalline LaCr2Au at its relaxed geometry, with properties calculated at the GGA-PBE level.

## Properties
Total magnetization   1.910 μB per atom
E above lowest polymorph   281 meV per atom
E_tot   -6.52 eV per atom

Cell and atoms, written as POSCAR:
```
LaCr2Au
1.0
-0.312 3.666 -2.390
-2.643 1.747 3.024
3.466 1.648 2.076
Au La Cr
1 1 2
Cartesian
0.412 1.698 2.550 Au
1.577 2.657 -0.157 La
-1.477 2.707 0.317 Cr
0.000 0.000 0.000 Cr
```

=====

(13)
Below is crystalline Ce3TmTh4S8 at its relaxed geometry, with properties calculated at the GGA-PBE level.

## Properties
Total magnetization   0.134 μB per atom
E_tot   -7.24 eV per atom
Raw formation energy   -1.93 eV/atom

Cell and atoms, written as POSCAR:
```
Ce3TmTh4S8
1.0
7.969 0.000 0.000
0.000 8.072 0.071
-3.985 -3.977 5.636
S Ce Th Tm
8 3 4 1
Cartesian
6.025 2.085 0.032 S
0.000 0.049 2.850 S
0.000 4.046 2.790 S
-2.040 2.010 5.676 S
1.945 2.085 0.032 S
3.985 4.046 2.857 S
2.040 2.010 5.676 S
3.985 0.049 2.917 S
1.992 2.048 2.854 Ce
3.985 4.036 0.036 Ce
-1.992 2.048 2.854 Ce
1.992 -1.989 2.818 Th
0.000 0.000 0.000 Th
-1.992 -1.989 2.818 Th
3.985 0.000 0.000 Th
0.000 4.036 0.036 Tm
```

=====

(14)
Below is crystalline ReAsPt2 at its relaxed geometry, with properties calculated at the GGA-PBE level.

## Properties
Total magnetization   0.000 μB per atom
E_tot   -7.07 eV per atom

Cell and atoms, written as POSCAR:
```
ReAsPt2
1.0
5.349 -0.005 -0.013
2.628 4.659 0.013
-3.451 -3.249 2.480
Re Pt As
1 2 1
Cartesian
2.943 -0.463 1.234 Re
3.866 2.256 0.000 Pt
0.123 0.072 0.000 Pt
1.583 1.869 1.246 As
```

=====

(15)
Below is crystalline Ac2BiRu at its relaxed geometry, with properties calculated at the GGA-PBE level.

## Properties
Total magnetization   0.199 μB per atom
E above lowest polymorph   192 meV per atom
E_tot   -5.48 eV per atom

Cell and atoms, written as POSCAR:
```
Ac2BiRu
1.0
-1.207 -1.835 5.157
2.953 -4.205 2.241
3.537 1.003 4.231
Ru Ac Bi
1 2 1
Cartesian
2.642 -2.518 5.815 Ru
3.963 -3.778 8.723 Ac
1.321 -1.259 2.908 Ac
0.000 0.000 0.000 Bi
```

=====

(16)
Below is crystalline SrCa3Mg2 at its relaxed geometry, with properties calculated at the GGA-PBE level.

## Properties
Total magnetization   0.000 μB per atom
E above lowest polymorph   0 meV per atom
E_tot   -1.86 eV per atom

Cell and atoms, written as POSCAR:
```
SrCa3Mg2
1.0
4.008 0.000 0.000
0.000 4.008 0.000
0.000 0.000 13.745
Sr Ca Mg
1 3 2
Cartesian
2.004 2.004 6.873 Sr
0.000 0.000 9.854 Ca
0.000 0.000 0.000 Ca
0.000 0.000 3.892 Ca
2.004 2.004 1.945 Mg
2.004 2.004 11.800 Mg
```

=====

(17)
Below is crystalline LaTb6Y12 at its relaxed geometry, with properties calculated at the GGA-PBE level.

## Properties
Total magnetization   0.000 μB per atom
E above lowest polymorph   126 meV per atom
E_tot   -5.65 eV per atom

Cell and atoms, written as POSCAR:
```
LaTb6Y12
1.0
-1.169 2.924 -7.984
4.640 -6.412 -3.320
-6.986 -4.873 -1.055
Y Tb La
12 6 1
Cartesian
-1.964 -5.324 -11.219 Y
0.510 -3.381 -5.750 Y
-1.550 -3.037 -1.139 Y
-4.024 -4.980 -6.609 Y
-1.815 -0.023 -3.103 Y
-1.427 -3.348 -8.451 Y
-2.088 -5.013 -3.907 Y
-4.864 -6.626 -9.514 Y
-2.798 -2.017 -5.732 Y
-1.699 -8.338 -9.255 Y
1.350 -1.735 -2.845 Y
-0.716 -6.344 -6.627 Y
-0.253 -0.078 -6.445 Tb
-3.261 -8.283 -5.913 Tb
-4.809 -2.964 -9.072 Tb
1.171 -5.170 -9.280 Tb
-4.685 -3.191 -3.079 Tb
1.295 -5.397 -3.287 Tb
0.000 0.000 0.000 La
```

=====

(18)
Below is crystalline CsHgAsSe3 at its relaxed geometry, with properties calculated at the GGA-PBE level.

## Properties
Total magnetization   0.000 μB per atom
E_tot   -3.17 eV per atom
Raw formation energy   -0.46 eV/atom

Cell and atoms, written as POSCAR:
```
CsHgAsSe3
1.0
-2.725 2.657 -1.809
-3.917 -7.040 -4.438
-4.808 1.611 9.604
Cs Se As Hg
2 6 2 2
Cartesian
-2.805 -0.488 1.055 Cs
-8.644 -2.285 2.302 Cs
-5.957 -3.871 -4.073 Se
-5.492 1.098 7.429 Se
-5.950 -4.082 0.513 Se
-5.499 1.309 2.844 Se
-6.970 -1.703 5.542 Se
-4.479 -1.070 -2.186 Se
-3.803 -3.836 -2.358 As
-7.646 1.063 5.715 As
-7.353 -3.734 -1.769 Hg
-4.096 0.961 5.126 Hg
```

=====

(19)
Below is crystalline CdSiSn3 at its relaxed geometry, with properties calculated at the GGA-PBE level.

## Properties
Total magnetization   0.000 μB per atom
E above lowest polymorph   0 meV per atom
E_tot   -3.19 eV per atom
Raw formation energy   0.47 eV/atom

Cell and atoms, written as POSCAR:
```
CdSiSn3
1.0
-3.096 -3.389 2.554
-1.701 -1.905 -4.591
3.888 -3.533 0.025
Sn Si Cd
3 1 1
Cartesian
-1.548 -1.695 1.277 Sn
1.944 -1.766 0.013 Sn
-0.851 -0.952 -2.295 Sn
0.000 0.000 0.000 Si
-0.455 -4.413 -1.006 Cd
```

=====

(20)
Below is crystalline ScAsSe2Br at its relaxed geometry, with properties calculated at the GGA-PBE level.

## Properties
Total magnetization   0.216 μB per atom
E above lowest polymorph   0 meV per atom
E_tot   -4.18 eV per atom
Raw formation energy   -0.25 eV/atom

Cell and atoms, written as POSCAR:
```
ScAsSe2Br
1.0
-1.147 5.006 -1.109
-0.429 -1.226 -5.091
-4.925 -0.984 0.652
Br Sc Se As
1 1 2 1
Cartesian
-2.462 -0.492 0.326 Br
0.000 0.000 0.000 Sc
-0.574 2.503 -0.554 Se
-0.215 -0.613 -2.546 Se
-3.251 1.398 -2.774 As
```

=====

(21)
Below is crystalline Co3Ir2 at its relaxed geometry, with properties calculated at the GGA-PBE level.

## Properties
Total magnetization   0.750 μB per atom
E above lowest polymorph   0 meV per atom
E_tot   -7.78 eV per atom

Cell and atoms, written as POSCAR:
```
Co3Ir2
1.0
-0.107 1.801 -3.183
-3.039 -3.245 0.369
0.363 5.014 2.825
Ir Co
2 3
Cartesian
-0.359 4.447 0.426 Ir
-2.424 -0.877 -0.415 Ir
-1.749 1.525 -1.181 Co
-1.034 2.044 1.192 Co
0.000 0.000 0.000 Co
```

=====

(22)
Below is crystalline AcErBi at its relaxed geometry, with properties calculated at the GGA-PBE level.

## Properties
Total magnetization   0.048 μB per atom
E above lowest polymorph   116 meV per atom
E_tot   -4.51 eV per atom

Cell and atoms, written as POSCAR:
```
AcErBi
1.0
-3.922 -0.830 -1.738
-1.998 -0.801 4.891
-0.082 4.891 -2.151
Er Ac Bi
1 1 1
Cartesian
-2.016 0.957 2.253 Er
-3.337 2.440 -0.963 Ac
-0.649 -0.137 -0.288 Bi
```

=====

(23)
Below is crystalline ScPaTl2Te4 at its relaxed geometry, with properties calculated at the GGA-PBE level.

## Properties
Total magnetization   0.254 μB per atom
E_tot   -4.89 eV per atom
Raw formation energy   -0.75 eV/atom

Cell and atoms, written as POSCAR:
```
ScPaTl2Te4
1.0
4.274 0.000 0.000
0.000 7.460 0.163
0.000 -2.594 8.326
Te Sc Tl Pa
4 1 2 1
Cartesian
0.000 -0.162 6.570 Te
2.137 3.724 6.732 Te
2.137 1.142 1.757 Te
0.000 5.028 1.919 Te
0.000 0.000 0.000 Sc
2.137 -1.297 4.163 Tl
0.000 2.433 4.244 Tl
2.137 3.730 0.081 Pa
```

=====

(24)
Below is crystalline ZnPtAu2 at its relaxed geometry, with properties calculated at the GGA-PBE level.

## Properties
Total magnetization   0.000 μB per atom
E_tot   -3.63 eV per atom

Cell and atoms, written as POSCAR:
```
ZnPtAu2
1.0
-2.928 0.930 -8.699
-4.933 -0.940 -7.739
-5.286 1.911 -7.315
Au Pt Zn
2 1 1
Cartesian
-3.268 0.472 -5.904 Au
-0.085 0.012 -0.154 Au
-6.483 0.937 -11.714 Pt
-9.884 1.429 -17.859 Zn
```

=====

(25)
Below is crystalline LuTiZnFe at its relaxed geometry, with properties calculated at the GGA-PBE level.

## Properties
Total magnetization   0.036 μB per atom
E_tot   -5.63 eV per atom

Cell and atoms, written as POSCAR:
```
LuTiZnFe
1.0
4.560 0.000 0.000
2.280 3.949 0.000
2.280 1.316 3.724
Fe Zn Lu Ti
1 1 1 1
Cartesian
4.560 2.633 1.862 Fe
0.000 0.000 0.000 Zn
2.280 1.316 0.931 Lu
6.841 3.949 2.793 Ti
```

=====

(26)
Below is crystalline BaSc3Sb at its relaxed geometry, with properties calculated at the GGA-PBE level.

## Properties
Total magnetization   0.000 μB per atom
E above lowest polymorph   995 meV per atom
E_tot   -3.92 eV per atom
Raw formation energy   1.09 eV/atom

Cell and atoms, written as POSCAR:
```
BaSc3Sb
1.0
5.295 0.000 0.000
0.000 5.295 0.000
0.000 0.000 5.295
Ba Sc Sb
1 3 1
Cartesian
0.000 0.000 0.000 Ba
0.000 2.647 0.000 Sc
0.000 0.000 2.647 Sc
2.647 0.000 0.000 Sc
2.647 2.647 2.647 Sb
```